Crystalline YSn2Au at its relaxed geometry. Source: the Alexandria database, functional PBEsol.

Geometry as extended XYZ:
```
4
Lattice="5.069 0.000 0.000 2.535 4.390 0.000 2.535 1.463 4.139" Properties=species:S:1:pos:R:3 pbc="T T T"
Sn 2.535 1.463 1.035
Au 5.069 2.927 2.069
Sn 7.604 4.390 3.104
Y 0.000 0.000 0.000
```

Output
The value obtained for the total magnetic moment is 0.000 μB per formula unit. The calculation puts the energy relative to the elements at -1.1 eV per formula unit.